# 1
# TcW2 | Alexandria via LeMat-Bulk | PBE | optimized geometry
# Polymorph energy (0 for the lowest one) (eV per atom): 0.2019
# Density of states at the Fermi level (states/eV/f.u.): 2.514
# E_tot (eV/atom): -11.842
data_TcW2
_chemical_formula_sum 'Tc2 W4'
_cell_length_a 2.8130
_cell_length_b 2.8130
_cell_length_c 11.9729
_cell_angle_alpha 90.00
_cell_angle_beta 90.00
_cell_angle_gamma 90.00
_symmetry_space_group_name_H-M 'I 4/m m m'
_symmetry_Int_Tables_number 139
_symmetry_space_group_name_Hall '-I 4 2'
loop_
_atom_site_label
_atom_site_type_symbol
_atom_site_fract_x
_atom_site_fract_y
_atom_site_fract_z
Tc1 Tc 0.0000 0.0000 0.0000
W1 W 0.0000 0.0000 0.3388


# 2
# TcW3 | Alexandria via LeMat-Bulk | PBE | optimized geometry
# Density of states at the Fermi level (states/eV/f.u.): 4.406
# E_tot (eV/atom): -11.982
data_TcW3
_chemical_formula_sum 'Tc3 W9'
_cell_length_a 2.8129
_cell_length_b 2.8129
_cell_length_c 28.0002
_cell_angle_alpha 90.00
_cell_angle_beta 90.00
_cell_angle_gamma 120.00
_symmetry_space_group_name_H-M 'R -3 m'
_symmetry_Int_Tables_number 166
_symmetry_space_group_name_Hall '-R 3 2"'
loop_
_atom_site_label
_atom_site_type_symbol
_atom_site_fract_x
_atom_site_fract_y
_atom_site_fract_z
Tc1 Tc 0.0000 0.0000 0.0000
W1 W 0.0000 0.0000 0.2536
W2 W 0.0000 0.0000 0.5000


# 3
# TcW3 | Alexandria via LeMat-Bulk | PBE | optimized geometry
# Density of states at the Fermi level (states/eV/f.u.): 2.565
# E_tot (eV/atom): -12.266
data_TcW3
_chemical_formula_sum 'Tc1 W3'
_cell_length_a 4.4720
_cell_length_b 4.4720
_cell_length_c 3.1582
_cell_angle_alpha 90.00
_cell_angle_beta 90.00
_cell_angle_gamma 90.00
_symmetry_space_group_name_H-M 'P 4/m m m'
_symmetry_Int_Tables_number 123
_symmetry_space_group_name_Hall '-P 4 2'
loop_
_atom_site_label
_atom_site_type_symbol
_atom_site_fract_x
_atom_site_fract_y
_atom_site_fract_z
Tc1 Tc 0.0000 0.0000 0.0000
W1 W 0.0000 0.5000 0.5000
W2 W 0.5000 0.5000 0.0000


# 4
# Tc7W | Alexandria via LeMat-Bulk | PBE | optimized geometry
# Density of states at the Fermi level (states/eV/f.u.): 10.386
# E_tot (eV/atom): -10.586
data_Tc7W
_chemical_formula_sum 'Tc28 W4'
_cell_length_a 7.8039
_cell_length_b 7.8039
_cell_length_c 7.8039
_cell_angle_alpha 90.00
_cell_angle_beta 90.00
_cell_angle_gamma 90.00
_symmetry_space_group_name_H-M 'F m -3 m'
_symmetry_Int_Tables_number 225
_symmetry_space_group_name_Hall '-F 4 2 3'
loop_
_atom_site_label
_atom_site_type_symbol
_atom_site_fract_x
_atom_site_fract_y
_atom_site_fract_z
Tc1 Tc 0.0000 0.0000 0.0000
Tc2 Tc 0.0000 0.2500 0.2500
W1 W 0.0000 0.0000 0.5000


# 5
# Tc3W | Alexandria via LeMat-Bulk | PBE | optimized geometry
# Density of states at the Fermi level (states/eV/f.u.): 5.090
# E_tot (eV/atom): -10.855
data_Tc3W
_chemical_formula_sum 'Tc9 W3'
_cell_length_a 2.7737
_cell_length_b 2.7737
_cell_length_c 27.1598
_cell_angle_alpha 90.00
_cell_angle_beta 90.00
_cell_angle_gamma 120.00
_symmetry_space_group_name_H-M 'R -3 m'
_symmetry_Int_Tables_number 166
_symmetry_space_group_name_Hall '-R 3 2"'
loop_
_atom_site_label
_atom_site_type_symbol
_atom_site_fract_x
_atom_site_fract_y
_atom_site_fract_z
Tc1 Tc 0.0000 0.0000 0.0000
Tc2 Tc 0.0000 0.0000 0.2522
W1 W 0.0000 0.0000 0.5000


# 6
# TcW4 | Alexandria via LeMat-Bulk | PBE | optimized geometry
# Polymorph energy (0 for the lowest one) (eV per atom): 0.0000
# Density of states at the Fermi level (states/eV/f.u.): 3.451
# E_tot (eV/atom): -12.405
data_TcW4
_chemical_formula_sum 'Tc2 W8'
_cell_length_a 7.0704
_cell_length_b 7.0704
_cell_length_c 3.1732
_cell_angle_alpha 90.00
_cell_angle_beta 90.00
_cell_angle_gamma 90.00
_symmetry_space_group_name_H-M 'I 4/m'
_symmetry_Int_Tables_number 87
_symmetry_space_group_name_Hall '-I 4'
loop_
_atom_site_label
_atom_site_type_symbol
_atom_site_fract_x
_atom_site_fract_y
_atom_site_fract_z
Tc1 Tc 0.0000 0.0000 0.0000
W1 W 0.1027 0.3013 0.5000


# 7
# TcW3 | Alexandria via LeMat-Bulk | PBE | optimized geometry
# Density of states at the Fermi level (states/eV/f.u.): 2.453
# E_tot (eV/atom): -12.261
data_TcW3
_chemical_formula_sum 'Tc4 W12'
_cell_length_a 6.3116
_cell_length_b 8.9433
_cell_length_c 4.4755
_cell_angle_alpha 90.00
_cell_angle_beta 90.00
_cell_angle_gamma 90.00
_symmetry_space_group_name_H-M 'C m c m'
_symmetry_Int_Tables_number 63
_symmetry_space_group_name_Hall '-C 2c 2'
loop_
_atom_site_label
_atom_site_type_symbol
_atom_site_fract_x
_atom_site_fract_y
_atom_site_fract_z
Tc1 Tc 0.0000 0.1212 0.2500
W1 W 0.0000 0.3727 0.7500
W2 W 0.2484 0.3752 0.2500


# 8
# Tc3W | Alexandria via LeMat-Bulk | PBE | optimized geometry
# Density of states at the Fermi level (states/eV/f.u.): 5.587
# E_tot (eV/atom): -10.906
data_Tc3W
_chemical_formula_sum 'Tc6 W2'
_cell_length_a 5.5760
_cell_length_b 5.5760
_cell_length_c 4.4552
_cell_angle_alpha 90.00
_cell_angle_beta 90.00
_cell_angle_gamma 120.00
_symmetry_space_group_name_H-M 'P 63/m m c'
_symmetry_Int_Tables_number 194
_symmetry_space_group_name_Hall '-P 6c 2c'
loop_
_atom_site_label
_atom_site_type_symbol
_atom_site_fract_x
_atom_site_fract_y
_atom_site_fract_z
Tc1 Tc 0.1668 0.3335 0.2500
W1 W 0.3333 0.6667 0.7500


# 9
# Tc2W | Alexandria via LeMat-Bulk | PBE | optimized geometry
# Polymorph energy (0 for the lowest one) (eV per atom): 0.0394
# Density of states at the Fermi level (states/eV/f.u.): 2.827
# E_tot (eV/atom): -11.095
data_Tc2W
_chemical_formula_sum 'Tc8 W4'
_cell_length_a 9.9546
_cell_length_b 2.9757
_cell_length_c 6.4403
_cell_angle_alpha 90.00
_cell_angle_beta 106.82
_cell_angle_gamma 90.00
_symmetry_space_group_name_H-M 'C 1 m 1'
_symmetry_Int_Tables_number 8
loop_
_symmetry_equiv_pos_as_xyz
'x,y,z'
'x,-y,z'
'x+1/2,y+1/2,z'
'x+1/2,-y+1/2,z'
loop_
_atom_site_label
_atom_site_type_symbol
_atom_site_fract_x
_atom_site_fract_y
_atom_site_fract_z
Tc1 Tc 0.0000 0.0000 0.0000
Tc2 Tc 0.0134 0.0000 0.5708
Tc3 Tc 0.1366 0.5000 0.3398
Tc4 Tc 0.3196 0.0000 0.6651
W1 W 0.1878 0.5000 0.8855
W2 W 0.3449 0.0000 0.2317


# 10
# Tc5W4 | Alexandria via LeMat-Bulk | PBE | optimized geometry
# Polymorph energy (0 for the lowest one) (eV per atom): 0.0000
# Density of states at the Fermi level (states/eV/f.u.): 10.489
# E_tot (eV/atom): -11.384
data_Tc5W4
_chemical_formula_sum 'Tc10 W8'
_cell_length_a 9.4123
_cell_length_b 9.4123
_cell_length_c 3.1215
_cell_angle_alpha 90.00
_cell_angle_beta 90.00
_cell_angle_gamma 90.00
_symmetry_space_group_name_H-M 'I 4/m m m'
_symmetry_Int_Tables_number 139
_symmetry_space_group_name_Hall '-I 4 2'
loop_
_atom_site_label
_atom_site_type_symbol
_atom_site_fract_x
_atom_site_fract_y
_atom_site_fract_z
Tc1 Tc 0.0000 0.0000 0.0000
Tc2 Tc 0.1651 0.1651 0.5000
W1 W 0.0000 0.3316 0.0000


# 11
# TcW3 | Alexandria via LeMat-Bulk | PBE | optimized geometry
# Density of states at the Fermi level (states/eV/f.u.): 5.339
# E_tot (eV/atom): -11.941
data_TcW3
_chemical_formula_sum 'Tc1 W3'
_cell_length_a 2.7973
_cell_length_b 2.7973
_cell_length_c 9.4376
_cell_angle_alpha 90.00
_cell_angle_beta 90.00
_cell_angle_gamma 120.00
_symmetry_space_group_name_H-M 'P -6 m 2'
_symmetry_Int_Tables_number 187
_symmetry_space_group_name_Hall 'P -6 2'
loop_
_atom_site_label
_atom_site_type_symbol
_atom_site_fract_x
_atom_site_fract_y
_atom_site_fract_z
Tc1 Tc 0.0000 0.0000 0.0000
W1 W 0.0000 0.0000 0.5000
W2 W 0.3333 0.6667 0.2389


# 12
# Tc2W | Alexandria via LeMat-Bulk | PBE | optimized geometry
# Polymorph energy (0 for the lowest one) (eV per atom): 0.0483
# Density of states at the Fermi level (states/eV/f.u.): 2.618
# E_tot (eV/atom): -11.086
data_Tc2W
_chemical_formula_sum 'Tc4 W2'
_cell_length_a 2.7453
_cell_length_b 7.8179
_cell_length_c 4.2749
_cell_angle_alpha 90.00
_cell_angle_beta 90.00
_cell_angle_gamma 90.00
_symmetry_space_group_name_H-M 'P n n m'
_symmetry_Int_Tables_number 58
loop_
_symmetry_equiv_pos_as_xyz
'x,y,z'
'-x,-y,-z'
'-x,-y,z'
'x,y,-z'
'x+1/2,-y+1/2,-z+1/2'
'-x+1/2,y+1/2,z+1/2'
'-x+1/2,y+1/2,-z+1/2'
'x+1/2,-y+1/2,z+1/2'
loop_
_atom_site_label
_atom_site_type_symbol
_atom_site_fract_x
_atom_site_fract_y
_atom_site_fract_z
Tc1 Tc 0.1836 0.1636 0.0000
W1 W 0.0000 0.5000 0.0000


- Look up the E_tot of the fifth one.
  -10.855 eV/atom


What did the fourth record say?
# Tc7W | Alexandria via LeMat-Bulk | PBE | optimized geometry
# Density of states at the Fermi level (states/eV/f.u.): 10.386
# E_tot (eV/atom): -10.586
data_Tc7W
_chemical_formula_sum 'Tc28 W4'
_cell_length_a 7.8039
_cell_length_b 7.8039
_cell_length_c 7.8039
_cell_angle_alpha 90.00
_cell_angle_beta 90.00
_cell_angle_gamma 90.00
_symmetry_space_group_name_H-M 'F m -3 m'
_symmetry_Int_Tables_number 225
_symmetry_space_group_name_Hall '-F 4 2 3'
loop_
_atom_site_label
_atom_site_type_symbol
_atom_site_fract_x
_atom_site_fract_y
_atom_site_fract_z
Tc1 Tc 0.0000 0.0000 0.0000
Tc2 Tc 0.0000 0.2500 0.2500
W1 W 0.0000 0.0000 0.5000


- What is the E_tot in the eleventh record?
  -11.941 eV/atom


- What is the E_tot in the sixth record?
  -12.405 eV/atom